Entry 1:
Computed, not measured: crystalline Zn2BiSb2 at its relaxed geometry at the PBE level of DFT.

Lattice parameters (Å, degrees): 4.6349 4.6349 11.6511 90.00 90.00 90.00
Closest atoms and distances in Å follow each position.
Space group I4/mmm (No. 139)
Asymmetric unit:
Zn  0.0000  0.0000  0.1036 [4 per cell]  1 Zn 2.41
Bi  0.0000  0.0000  0.5000 [2 per cell]  8 Zn 3.49, 8 Sb 3.72
Sb  0.0000  0.5000  0.2500 [4 per cell]  4 Zn 2.88

Output
The value obtained for the volume is 125 Å³/f.u. Its relative energy among the computed polymorphs is 0.107 eV per atom. As for the uncorrected formation energy: 0.2316 eV per atom. The value obtained for the total moment is 0.00 μB per atom.

Entry 2:
Computed, not measured: crystalline Tl2InRe at its relaxed geometry at the PBE level of DFT.

Lattice parameters (Å, degrees): 3.0960 3.0960 9.7945 90.00 90.00 90.00
Closest atoms and distances in Å follow each position.
Space group P4/mmm (No. 123)
Asymmetric unit:
Tl  0.0000  0.0000  0.2138 [2 per cell]  4 Re 3.03, 4 Tl 3.10
In  0.5000  0.5000  0.5000 [1 per cell]  4 In 3.10
Re  0.5000  0.5000  0.0000 [1 per cell]  8 Tl 3.03, 4 Re 3.10

Output
The value obtained for the volume is 94 Å³/f.u. For the formation energy, the calculation gives 0.8092 eV per atom. Its relative energy among the computed polymorphs is 0.250 eV per atom. The value obtained for the total moment is 0.30 μB per atom.

Entry 3:
Computed, not measured: crystalline ZrTaRe2 at its relaxed geometry at the PBE level of DFT.

Lattice parameters (Å, degrees): 3.2121 3.2121 6.7149 90.00 90.00 90.00
Closest atoms and distances in Å follow each position.
Space group P4mm (No. 99)
Asymmetric unit:
Zr  0.0000  0.0000  0.0000 [1 per cell]  4 Re 2.88, 4 Ta 2.93, 4 Zr 3.21
Ta  0.5000  0.5000  0.7249 [1 per cell]  5 Re 2.78-3.10, 4 Zr 2.93
Re  0.0000  0.0000  0.4868 [1 per cell]  4 Re 2.72, 4 Ta 2.78
Re  0.5000  0.5000  0.2628 [1 per cell]  4 Re 2.72, 4 Zr 2.88

Output
The value obtained for the volume is 69 Å³/f.u. For the formation energy, the calculation gives -0.0577 eV per atom. The value obtained for the total moment is 0.00 μB per atom.

Entry 4:
Computed, not measured: crystalline Ba3HfMo at its relaxed geometry at the PBE level of DFT.

Lattice parameters (Å, degrees): 5.8860 5.8860 5.8860 90.00 90.00 90.00
Closest atoms and distances in Å follow each position.
Space group Pm-3m (No. 221)
Asymmetric unit:
Ba  0.0000  0.0000  0.5000 [3 per cell]  2 Mo 2.94
Hf  0.5000  0.5000  0.5000 [1 per cell]  12 Ba 4.16
Mo  0.0000  0.0000  0.0000 [1 per cell]  6 Ba 2.94

Output
The value obtained for the volume is 204 Å³/f.u. For the formation energy, the calculation gives 1.3805 eV per atom. Its relative energy among the computed polymorphs is 0.000 eV per atom. The value obtained for the total moment is 0.00 μB per atom.

Entry 5:
Computed, not measured: crystalline CsBa2MgNi at its relaxed geometry at the PBE level of DFT.

Lattice parameters (Å, degrees): 6.2307 6.2307 5.4417 90.00 90.00 90.00
Closest atoms and distances in Å follow each position.
Space group P4/mmm (No. 123)
Asymmetric unit:
Cs  0.0000  0.0000  0.0000 [1 per cell]  8 Ba 4.14, 4 Mg 4.41
Ba  0.0000  0.5000  0.5000 [2 per cell]  2 Ni 3.12
Mg  0.5000  0.5000  0.0000 [1 per cell]  2 Ni 2.72
Ni  0.5000  0.5000  0.5000 [1 per cell]  2 Mg 2.72

Output
The value obtained for the volume is 211 Å³/f.u. For the formation energy, the calculation gives 0.1372 eV per atom. The value obtained for the total moment is 0.00 μB per atom.

Entry 6:
Computed, not measured: crystalline SrBeOsRh2 at its relaxed geometry at the PBE level of DFT.

Lattice parameters (Å, degrees): 4.2212 4.2212 4.7778 90.00 90.00 90.00
Closest atoms and distances in Å follow each position.
Space group P4/mmm (No. 123)
Asymmetric unit:
Sr  0.0000  0.0000  0.0000 [1 per cell]  2 Be 2.39
Be  0.0000  0.0000  0.5000 [1 per cell]  4 Rh 2.11
Os  0.5000  0.5000  0.0000 [1 per cell]  4 Sr 2.98, 8 Rh 3.19
Rh  0.0000  0.5000  0.5000 [2 per cell]  2 Be 2.11

Output
The value obtained for the volume is 85 Å³/f.u. For the formation energy, the calculation gives 0.8746 eV per atom. The value obtained for the total moment is 0.21 μB per atom.

Entry 7:
Computed, not measured: crystalline ErCdIrPt at its relaxed geometry at the PBE level of DFT.

Lattice parameters (Å, degrees): 6.6850 6.6850 6.6850 90.00 90.00 90.00
Closest atoms and distances in Å follow each position.
Space group F-43m (No. 216)
Asymmetric unit:
Er  0.0000  0.0000  0.0000 [4 per cell]  4 Ir 2.89, 4 Pt 2.89
Cd  0.0000  0.0000  0.5000 [4 per cell]  4 Ir 2.89, 4 Pt 2.89
Ir  0.2500  0.2500  0.7500 [4 per cell]  4 Cd 2.89, 4 Er 2.89
Pt  0.2500  0.2500  0.2500 [4 per cell]  4 Cd 2.89, 4 Er 2.89

Output
The value obtained for the volume is 75 Å³/f.u. For the formation energy, the calculation gives -0.5876 eV per atom. The value obtained for the total moment is 0.00 μB per atom.

Entry 8:
Computed, not measured: crystalline ZnB2F8 at its relaxed geometry at the PBE level of DFT.

Lattice parameters (Å, degrees): 9.7154 6.1280 4.7585 90.00 100.72 90.00
Closest atoms and distances in Å follow each position.
Space group C2/m (No. 12)
Asymmetric unit:
Zn  0.0000  0.0000  0.0000 [2 per cell]  6 F 2.06-2.09
B  0.1931  0.0000  0.6640 [4 per cell]  4 F 1.35-1.45
F  0.1242  0.1837  0.7723 [8 per cell]  1 B 1.45
F  0.1570  0.0000  0.3567 [4 per cell]  1 B 1.44
F  0.1662  0.5000  0.2493 [4 per cell]  1 B 1.35

Output
The value obtained for the volume is 139 Å³/f.u. Its relative energy among the computed polymorphs is 0.014 eV per atom. As for the uncorrected formation energy: -2.6466 eV per atom. The value obtained for the total moment is 0.00 μB per atom.

Entry 9:
Computed, not measured: crystalline SrTlRh2 at its relaxed geometry at the PBE level of DFT.

Lattice parameters (Å, degrees): 3.5235 3.5235 24.6916 90.00 90.00 120.00
Closest atoms and distances in Å follow each position.
Space group R-3m (No. 166, hexagonal axes)
Asymmetric unit:
Sr  0.0000  0.0000  0.0000 [3 per cell]  6 Rh 3.03
Tl  0.0000  0.0000  0.5000 [3 per cell]  6 Rh 2.76
Rh  0.0000  0.0000  0.2424 [6 per cell]  3 Tl 2.76, 3 Sr 3.03

Output
The value obtained for the volume is 88 Å³/f.u. For the formation energy, the calculation gives 0.2430 eV per atom. Its relative energy among the computed polymorphs is 0.405 eV per atom. The value obtained for the total moment is 0.00 μB per atom.

Entry 10:
Computed, not measured: crystalline Pm5CuNi2 at its relaxed geometry at the PBE level of DFT.

Lattice parameters (Å, degrees): 7.8351 7.8351 12.9380 90.00 90.00 90.00
Closest atoms and distances in Å follow each position.
Space group I4/mcm (No. 140)
Asymmetric unit:
Pm  0.0000  0.0000  0.0000 [4 per cell]  4 Ni 3.12, 2 Cu 3.23, 8 Pm 3.44
Pm  0.1639  0.3361  0.1400 [16 per cell]  3 Ni 2.89-3.00
Cu  0.0000  0.0000  0.2500 [4 per cell]  10 Pm 3.23-3.26
Ni  0.1200  0.3800  0.5000 [8 per cell]  1 Ni 2.66, 4 Pm 2.89

Output
The value obtained for the volume is 199 Å³/f.u. For the formation energy, the calculation gives -0.1865 eV per atom. The value obtained for the total moment is 0.00 μB per atom.

Entry 11:
Computed, not measured: crystalline LiPtI at its relaxed geometry at the PBE level of DFT.

Lattice parameters (Å, degrees): 5.3282 3.8398 8.0056 90.00 93.85 90.00
Closest atoms and distances in Å follow each position.
Space group P2_1/m (No. 11)
Asymmetric unit:
Li  0.1308  0.2500  0.3856 [2 per cell]  3 Pt 2.52-2.82
Pt  0.3954  0.7500  0.5855 [2 per cell]  3 Li 2.52-2.82, 2 Pt 2.65, 2 I 2.71
I  0.2129  0.2500  0.7829 [2 per cell]  2 Pt 2.71, 2 Li 2.92

Output
The value obtained for the volume is 82 Å³/f.u. Its relative energy among the computed polymorphs is 0.072 eV per atom. As for the uncorrected formation energy: -0.5090 eV per atom. The value obtained for the total moment is 0.00 μB per atom.

Entry 12:
Computed, not measured: crystalline K3ReClF6 at its relaxed geometry at the PBE level of DFT.

Lattice parameters (Å, degrees): 8.3863 8.3863 6.0915 90.00 90.00 90.00
Closest atoms and distances in Å follow each position.
Space group P4/mbm (No. 127)
Asymmetric unit:
K  0.0000  0.0000  0.0000 [2 per cell]  2 Cl 3.05, 4 F 3.12
K  0.1818  0.3182  0.5000 [4 per cell]  8 F 2.90-3.05, 2 Cl 3.07
Re  0.0000  0.5000  0.0000 [2 per cell]  6 F 1.99
Cl  0.0000  0.0000  0.5000 [2 per cell]  6 K 3.05-3.07
F  0.1130  0.6130  0.2415 [8 per cell]  1 Re 1.99
F  0.1676  0.3324  0.0000 [4 per cell]  1 Re 1.99

Output
The value obtained for the volume is 214 Å³/f.u. As for the uncorrected formation energy: -2.3848 eV per atom. The value obtained for the total moment is 0.27 μB per atom.

Entry 13:
Computed, not measured: crystalline Sm2Ga3Ag6 at its relaxed geometry at the PBE level of DFT.

Lattice parameters (Å, degrees): 7.7672 7.7672 4.4007 90.00 90.00 120.00
Closest atoms and distances in Å follow each position.
Space group P-62m (No. 189)
Asymmetric unit:
Sm  0.3333  0.6667  0.0000 [2 per cell]  3 Ag 3.19, 6 Ga 3.25
Ga  0.0000  0.3928  0.5000 [3 per cell]  5 Ag 2.55-2.72
Ag  0.0000  0.2087  0.0000 [3 per cell]  2 Ga 2.62, 2 Ag 2.81
Ag  0.0000  0.7210  0.5000 [3 per cell]  3 Ga 2.55-2.72

Output
The value obtained for the volume is 230 Å³/f.u. For the formation energy, the calculation gives -0.2559 eV per atom. The value obtained for the total moment is 0.00 μB per atom.

Entry 14:
Computed, not measured: crystalline CdCoSbI2 at its relaxed geometry at the PBE level of DFT.

Lattice parameters (Å, degrees): 5.4971 5.4971 4.8178 90.00 90.00 90.00
Closest atoms and distances in Å follow each position.
Space group P4/mmm (No. 123)
Asymmetric unit:
Cd  0.0000  0.0000  0.0000 [1 per cell]  8 I 3.65, 4 Sb 3.89
Co  0.5000  0.5000  0.5000 [1 per cell]  2 Sb 2.41
Sb  0.5000  0.5000  0.0000 [1 per cell]  2 Co 2.41
I  0.0000  0.5000  0.5000 [2 per cell]  2 Co 2.75

Output
The value obtained for the volume is 146 Å³/f.u. Its relative energy among the computed polymorphs is 0.000 eV per atom. As for the uncorrected formation energy: 0.2931 eV per atom. The value obtained for the total moment is 0.00 μB per atom.

Entry 15:
Computed, not measured: crystalline TbY2ZnN at its relaxed geometry at the PBE level of DFT.

Lattice parameters (Å, degrees): 4.7795 4.7795 4.8120 90.00 90.00 90.00
Closest atoms and distances in Å follow each position.
Space group P4/mmm (No. 123)
Asymmetric unit:
Tb  0.0000  0.0000  0.0000 [1 per cell]  2 N 2.41
Y  0.0000  0.5000  0.5000 [2 per cell]  2 N 2.39
Zn  0.5000  0.5000  0.0000 [1 per cell]  4 Tb 3.38, 8 Y 3.39
N  0.0000  0.0000  0.5000 [1 per cell]  4 Y 2.39, 2 Tb 2.41

Output
The value obtained for the volume is 110 Å³/f.u. As for the uncorrected formation energy: -0.7918 eV per atom. The value obtained for the total moment is 0.00 μB per atom.

Entry 16:
Computed, not measured: crystalline BeCu2Si at its relaxed geometry at the PBE level of DFT.

Lattice parameters (Å, degrees): 2.6199 3.9937 4.4600 90.00 90.35 90.00
Closest atoms and distances in Å follow each position.
Space group P2/m (No. 10)
Asymmetric unit:
Be  0.0000  0.0000  0.0000 [1 per cell]  4 Cu 2.36, 4 Si 2.58-2.59, 2 Be 2.62
Cu  0.2598  0.5000  0.2406 [2 per cell]  2 Be 2.36, 2 Si 2.39, 5 Cu 2.49-2.63
Si  0.5000  0.0000  0.5000 [1 per cell]  4 Cu 2.39, 4 Be 2.58-2.59, 2 Si 2.62

Output
The value obtained for the volume is 47 Å³/f.u. As for the uncorrected formation energy: 0.1053 eV per atom. The value obtained for the total moment is 0.00 μB per atom.

Entry 17:
Computed, not measured: crystalline TlZnF3 at its relaxed geometry at the PBE level of DFT.

Lattice parameters (Å, degrees): 6.6799 6.6799 15.8203 90.00 90.00 120.00
Closest atoms and distances in Å follow each position.
Space group R-3c (No. 167, hexagonal axes)
Asymmetric unit:
Tl  0.0000  0.0000  0.0000 [6 per cell]  6 F 2.76
Zn  0.0000  0.0000  0.2500 [6 per cell]  3 F 1.87
F  0.0000  0.2801  0.2500 [18 per cell]  1 Zn 1.87

Output
The value obtained for the volume is 102 Å³/f.u. As for the uncorrected formation energy: -1.9751 eV per atom. The value obtained for the total moment is 0.00 μB per atom.

Entry 18:
Computed, not measured: crystalline CsTiS3 at its relaxed geometry at the PBE level of DFT.

Lattice parameters (Å, degrees): 10.1267 9.7775 8.2253 90.00 113.87 90.00
Closest atoms and distances in Å follow each position.
Space group P2_1/c (No. 14)
Asymmetric unit:
Cs  0.1529  0.2495  0.0760 [4 per cell]  6 S 3.48-3.66
Ti  0.2519  0.6447  0.8758 [4 per cell]  4 S 2.17-2.33
S  0.0486  0.5349  0.7748 [4 per cell]  1 Ti 2.17
S  0.2846  0.7494  0.6417 [4 per cell]  2 Ti 2.32
S  0.3998  0.0482  0.4502 [4 per cell]  1 S 2.08

Output
The value obtained for the volume is 186 Å³/f.u. Its relative energy among the computed polymorphs is 0.000 eV per atom. As for the uncorrected formation energy: -1.0926 eV per atom. The value obtained for the total moment is 0.00 μB per atom.

Entry 19:
Computed, not measured: crystalline PrY2Tm3Bi6 at its relaxed geometry at the PBE level of DFT.

Lattice parameters (Å, degrees): 19.5439 4.4864 8.9714 90.00 103.19 90.00
Closest atoms and distances in Å follow each position.
Space group C2/m (No. 12)
Asymmetric unit:
Pr  0.0000  0.0000  0.0000 [2 per cell]  6 Bi 3.23-3.24
Y  0.1674  0.5000  0.3337 [4 per cell]  6 Bi 3.18-3.19
Tm  0.0000  0.0000  0.5000 [2 per cell]  6 Bi 3.11-3.15
Tm  0.1653  0.5000  0.8321 [4 per cell]  6 Bi 3.12-3.16
Bi  0.9999  0.5000  0.2596 [4 per cell]  3 Tm 3.11-3.14, 1 Y 3.19, 2 Pr 3.23
Bi  0.1657  0.0000  0.5852 [4 per cell]  3 Tm 3.15, 3 Y 3.18-3.19
Bi  0.1705  0.0000  0.0824 [4 per cell]  3 Tm 3.12-3.16, 2 Y 3.19, 1 Pr 3.24

Output
The value obtained for the volume is 383 Å³/f.u. For the formation energy, the calculation gives -0.8455 eV per atom. The value obtained for the total moment is 0.00 μB per atom.

Entry 20:
Computed, not measured: crystalline Zr3FeTc at its relaxed geometry at the PBE level of DFT.

Lattice parameters (Å, degrees): 4.9368 4.9368 4.9368 90.00 90.00 90.00
Closest atoms and distances in Å follow each position.
Space group Pm-3m (No. 221)
Asymmetric unit:
Zr  0.0000  0.0000  0.5000 [3 per cell]  2 Tc 2.47
Fe  0.5000  0.5000  0.5000 [1 per cell]  12 Zr 3.49
Tc  0.0000  0.0000  0.0000 [1 per cell]  6 Zr 2.47

Output
The value obtained for the volume is 120 Å³/f.u. For the formation energy, the calculation gives 1.0221 eV per atom. Its relative energy among the computed polymorphs is 0.482 eV per atom. The value obtained for the total moment is 0.00 μB per atom.